# 1
Material: NaDyTc2O8
Method: DFT, PBE
State: relaxed

- space group = P-3m1 (164)
- final energy (eV per atom) = -7.40
- V (Å³ per cell) = 210.2
- Fermi-level density of states (states/eV/f.u.) = 6.982

a b c (Å): 5.948 5.948 6.860
angles (deg): 90.00 90.00 120.00
Sites, in units of the cell vectors:
O: 0.168 0.336 0.710
O: 0.333 0.667 0.049
O: 0.336 0.168 0.290
O: 0.667 0.333 0.951
Tc: 0.333 0.667 0.796
O: 0.832 0.168 0.290
Tc: 0.667 0.333 0.204
Dy: 0.000 0.000 0.500
Na: 0.000 0.000 0.000
O: 0.664 0.832 0.710
O: 0.832 0.664 0.290
O: 0.168 0.832 0.710

***

# 2
Material: Na4Dy3TcO8
Method: DFT, PBE
State: relaxed

- space group = R-3m (166)
- final energy (eV per atom) = -6.68
- V (Å³ per cell) = 214.8
- Fermi-level density of states (states/eV/f.u.) = 5.451

a b c (Å): 6.666 6.778 6.666
angles (deg): 119.45 120.00 90.00
Sites, in units of the cell vectors:
O: 0.232 0.714 0.982
Dy: 0.000 0.500 0.500
Na: 0.500 0.000 0.000
O: 0.768 0.286 0.537
O: 0.232 0.714 0.463
O: 0.768 0.286 0.018
Na: 0.500 0.000 0.500
O: 0.738 0.713 0.475
O: 0.249 0.286 0.018
Na: 0.000 0.000 0.500
Na: 0.000 0.000 0.000
Dy: 0.500 0.500 0.500
O: 0.751 0.714 0.982
O: 0.262 0.287 0.525
Dy: 0.500 0.500 0.000
Tc: 0.000 0.500 0.000

***

# 3
Material: NaDy2TcO6
Method: DFT, PBE
State: relaxed

- space group = R3 (146)
- final energy (eV per atom) = -7.56
- V (Å³ per cell) = 137.1
- Fermi-level density of states (states/eV/f.u.) = 6.732

a b c (Å): 5.630 5.630 5.960
angles (deg): 61.82 61.81 60.00
Sites, in units of the cell vectors:
O: 0.964 0.572 0.234
O: 0.400 0.687 0.772
O: 0.687 0.142 0.772
O: 0.142 0.400 0.772
O: 0.230 0.964 0.234
Dy: 0.019 0.018 0.945
O: 0.572 0.230 0.234
Na: 0.800 0.800 0.599
Tc: 0.322 0.322 0.033
Dy: 0.526 0.526 0.422

***

# 4
Material: Na3Dy3TcO8
Method: DFT, PBE
State: relaxed

- space group = R-3m (166)
- final energy (eV per atom) = -7.03
- V (Å³ per cell) = 217.0

a b c (Å): 6.711 6.710 6.782
angles (deg): 119.66 90.00 120.00
Sites, in units of the cell vectors:
Tc: 0.000 0.000 0.500
O: 0.781 0.020 0.302
Na: 0.500 0.500 0.000
O: 0.737 0.473 0.710
O: 0.761 0.980 0.698
Dy: 0.500 0.500 0.500
Dy: 0.500 0.000 0.500
O: 0.263 0.527 0.290
O: 0.239 0.020 0.302
Dy: 0.000 0.500 0.500
O: 0.219 0.438 0.698
O: 0.219 0.980 0.698
Na: 0.000 0.500 0.000
Na: 0.000 0.000 0.000
O: 0.781 0.562 0.302

***

# 5
Material: NaDy3Te4O12
Method: DFT, PBE
State: relaxed

- space group = R32 (155)
- final energy (eV per atom) = -6.11
- V (Å³ per cell) = 351.4
- Fermi-level density of states (states/eV/f.u.) = 2.830

a b c (Å): 7.354 7.354 7.354
angles (deg): 104.50 104.50 104.50
Sites, in units of the cell vectors:
O: 0.054 0.279 0.386
Te: 0.500 0.500 0.500
O: 0.500 0.325 0.675
O: 0.925 0.500 0.075
O: 0.946 0.614 0.721
O: 0.386 0.054 0.279
O: 0.279 0.386 0.054
O: 0.614 0.721 0.946
O: 0.075 0.925 0.500
O: 0.721 0.946 0.614
O: 0.675 0.500 0.325
O: 0.500 0.075 0.925
O: 0.325 0.675 0.500
Na: 0.000 0.000 0.000
Dy: 0.000 0.572 0.428
Te: 0.909 0.091 0.500
Dy: 0.572 0.428 0.000
Dy: 0.428 0.000 0.572
Te: 0.500 0.909 0.091
Te: 0.091 0.500 0.909

***

# 6
Material: Na2Dy2TeO6
Method: DFT, PBE
State: relaxed

- space group = C2/m (12)
- final energy (eV per atom) = -6.33
- V (Å³ per cell) = 171.6
- Fermi-level density of states (states/eV/f.u.) = 0.000

a b c (Å): 5.921 5.921 5.928
angles (deg): 98.69 98.69 119.98
Sites, in units of the cell vectors:
Dy: 0.664 0.336 0.500
O: 0.386 0.051 0.700
O: 0.747 0.747 0.701
O: 0.949 0.614 0.300
Dy: 0.336 0.664 0.500
Na: 0.840 0.160 0.000
O: 0.051 0.386 0.700
O: 0.614 0.949 0.300
O: 0.253 0.253 0.299
Te: 0.000 0.000 0.500
Na: 0.160 0.840 0.000

***

# 7
Material: Na2DyTeO4
Method: DFT, PBE
State: relaxed

- space group = I-4 (82)
- final energy (eV per atom) = -5.56
- V (Å³ per cell) = 127.1
- Fermi-level density of states (states/eV/f.u.) = 1.599

a b c (Å): 5.493 5.493 5.493
angles (deg): 105.23 111.63 111.63
Sites, in units of the cell vectors:
Na: 0.000 0.000 0.000
Na: 0.500 0.750 0.250
O: 0.878 0.641 0.167
Te: 0.000 0.500 0.500
Dy: 0.500 0.250 0.750
O: 0.526 0.237 0.359
O: 0.122 0.289 0.763
O: 0.474 0.833 0.711

***

# 8
Material: NaDyTe2O8
Method: DFT, PBE
State: relaxed

- space group = I-4 (82)
- final energy (eV per atom) = -5.93
- V (Å³ per cell) = 159.0
- Fermi-level density of states (states/eV/f.u.) = 0.000

a b c (Å): 5.276 5.276 6.823
angles (deg): 112.74 112.74 90.00
Sites, in units of the cell vectors:
O: 0.172 0.596 0.835
Te: 0.500 0.500 0.000
O: 0.663 0.240 0.835
O: 0.404 0.337 0.165
Na: 0.750 0.250 0.500
O: 0.760 0.828 0.165
O: 0.999 0.414 0.323
O: 0.323 0.909 0.323
Te: 0.250 0.750 0.500
O: 0.091 0.001 0.677
O: 0.586 0.677 0.677
Dy: 0.000 0.000 0.000

***

# 9
Material: NaDy2TeO6
Method: DFT, PBE
State: relaxed

- space group = R3 (146)
- final energy (eV per atom) = -6.71
- V (Å³ per cell) = 146.3
- Fermi-level density of states (states/eV/f.u.) = 2.616

a b c (Å): 5.778 5.778 6.062
angles (deg): 61.54 61.54 60.00
Sites, in units of the cell vectors:
O: 0.232 0.940 0.232
O: 0.687 0.150 0.772
O: 0.940 0.596 0.232
Dy: 0.018 0.018 0.946
Dy: 0.528 0.528 0.415
O: 0.150 0.391 0.772
O: 0.391 0.687 0.772
Na: 0.798 0.798 0.607
Te: 0.322 0.322 0.035
O: 0.596 0.232 0.232

***

# 10
Material: Na3Dy3TeO8
Method: DFT, PBE
State: relaxed

- space group = R-3m (166)
- final energy (eV per atom) = -6.46
- V (Å³ per cell) = 227.6
- Fermi-level density of states (states/eV/f.u.) = 0.000

a b c (Å): 6.850 6.849 6.857
angles (deg): 119.98 89.99 120.00
Sites, in units of the cell vectors:
Te: 0.000 0.000 0.500
Dy: 0.500 0.500 0.500
Na: 0.000 0.000 0.000
O: 0.264 0.529 0.293
Dy: 0.000 0.500 0.500
O: 0.772 0.025 0.297
O: 0.736 0.471 0.707
Dy: 0.500 0.000 0.500
O: 0.253 0.025 0.297
Na: 0.500 0.500 0.000
O: 0.228 0.455 0.703
O: 0.747 0.975 0.703
O: 0.228 0.975 0.703
O: 0.772 0.545 0.297
Na: 0.000 0.500 0.000

***

# 11
Material: Na4Dy3TiO8
Method: DFT, PBE
State: relaxed

- space group = C2/m (12)
- final energy (eV per atom) = -6.82
- V (Å³ per cell) = 215.2
- Fermi-level density of states (states/eV/f.u.) = 5.099

a b c (Å): 6.687 6.759 6.689
angles (deg): 119.57 119.99 90.00
Sites, in units of the cell vectors:
O: 0.233 0.713 0.465
O: 0.225 0.704 0.981
O: 0.756 0.704 0.981
Na: 0.500 0.000 0.000
Na: 0.500 0.000 0.500
O: 0.262 0.285 0.524
O: 0.738 0.715 0.476
Dy: 0.500 0.500 0.500
O: 0.244 0.296 0.019
O: 0.767 0.287 0.535
Dy: 0.500 0.500 0.000
Na: 0.000 0.000 0.000
O: 0.775 0.296 0.019
Dy: 0.000 0.500 0.500
Ti: 0.000 0.500 0.000
Na: 0.000 0.000 0.500

***

# 12
Material: Na3Dy3TiO8
Method: DFT, PBE
State: relaxed

- space group = R-3m (166)
- final energy (eV per atom) = -7.21
- V (Å³ per cell) = 214.1
- Fermi-level density of states (states/eV/f.u.) = 0.000

a b c (Å): 6.671 6.671 6.760
angles (deg): 119.57 90.00 120.00
Sites, in units of the cell vectors:
O: 0.786 0.573 0.306
O: 0.214 0.980 0.694
O: 0.233 0.020 0.306
O: 0.767 0.980 0.694
O: 0.263 0.526 0.288
Na: 0.000 0.000 0.000
O: 0.786 0.020 0.306
O: 0.737 0.474 0.712
O: 0.214 0.427 0.694
Na: 0.500 0.500 0.000
Na: 0.000 0.500 0.000
Dy: 0.000 0.500 0.500
Dy: 0.500 0.000 0.500
Ti: 0.000 0.000 0.500
Dy: 0.500 0.500 0.500

***

| no. | E_form (uncorrected) (eV/atom) |
| --- | --- |
| 1 | -1.87 |
| 2 | -2.37 |
| 3 | -2.49 |
| 4 | -2.51 |
| 5 | -1.75 |
| 6 | -2.27 |
| 7 | -1.78 |
| 8 | -1.60 |
| 9 | -2.37 |
| 10 | -2.43 |
| 11 | -2.65 |
| 12 | -2.85 |